# 1
PBE CdSiW2, optimized geometry; formation energy (no corrections) = 1.566 eV/f.u.; energy relative to the lowest polymorph listed for this composition = 33 meV per atom; space-group type = Cmmm, No. 65; E_tot = -30.7 eV/cell; crystal system = orthorhombic; magnetic moment = 0.000 μB per atom
1.0
-2.4398 -1.1211 -0.7413
0.7717 -1.1896 2.3975
-4.2518 6.2861 4.4875
W Cd Si
2 1 1
direct
0.0000 0.0000 0.9698 W
0.0000 0.0000 0.5302 W
0.5000 0.5000 0.2500 Cd
0.5000 0.5000 0.7500 Si

# 2
PBE PmErGaRh, optimized geometry; energy relative to the lowest polymorph listed for this composition = 0 meV per atom; space-group type = Amm2, No. 38; E_tot = -22.5 eV/cell; E_form = -0.708 eV/atom; crystal system = orthorhombic; magnetic moment = 0.000 μB per atom
1.0
4.2893 0.0000 0.0000
0.0000 3.9342 0.0000
-2.1447 0.0000 5.5008
Pm Rh Er Ga
1 1 1 1
direct
0.1524 0.0000 0.3049 Pm
0.4138 0.0000 0.8277 Rh
0.8667 0.5000 0.7334 Er
0.5670 0.5000 0.1340 Ga

# 3
PBE Pm9Sn3C2, optimized geometry; space-group type = P-3m1, No. 164; E_tot = -80.0 eV/cell; E_form = -0.483 eV/atom; crystal system = trigonal; magnetic moment = 0.000 μB per atom
1.0
-1.7768 -6.2767 2.8379
3.5158 0.2422 -6.1797
7.5798 -0.1994 4.3046
Pm C Sn
9 2 3
direct
0.6615 0.8307 0.6687 Pm
0.1693 0.3385 0.6687 Pm
0.3385 0.1693 0.3313 Pm
0.8307 0.1693 0.3313 Pm
0.5000 0.5000 0.0000 Pm
0.8307 0.6615 0.3313 Pm
0.0000 0.5000 0.0000 Pm
0.5000 0.0000 0.0000 Pm
0.1693 0.8307 0.6687 Pm
0.6667 0.3333 0.1750 C
0.3333 0.6667 0.8250 C
0.0000 0.0000 0.0000 Sn
0.3333 0.6667 0.3325 Sn
0.6667 0.3333 0.6675 Sn

# 4
PBE LaW2Cl, optimized geometry; formation energy (no corrections) = 6.545 eV/f.u.; energy relative to the lowest polymorph listed for this composition = 1674 meV per atom; space-group type = Fm-3m, No. 225; E_tot = -26.1 eV/cell; crystal system = cubic; magnetic moment = 0.000 μB per atom
1.0
0.0000 3.3887 3.3887
3.3887 0.0000 3.3887
3.3887 3.3887 0.0000
W Cl La
2 1 1
direct
0.7500 0.7500 0.7500 W
0.2500 0.2500 0.2500 W
0.0000 0.0000 0.0000 Cl
0.5000 0.5000 0.5000 La

# 5
PBE Te2SeF, optimized geometry; formation energy (no corrections) = -0.608 eV/f.u.; energy relative to the lowest polymorph listed for this composition = 176 meV per atom; space-group type = Fm-3m, No. 225; E_tot = -12.2 eV/cell; crystal system = cubic; magnetic moment = 0.000 μB per atom
1.0
0.0000 3.4948 3.4948
3.4948 0.0000 3.4948
3.4948 3.4948 0.0000
Te Se F
2 1 1
direct
0.7500 0.7500 0.7500 Te
0.2500 0.2500 0.2500 Te
0.5000 0.5000 0.5000 Se
0.0000 0.0000 0.0000 F

# 6
PBE LaAs2, optimized geometry; space-group type = I4_1/amd, No. 141; E_tot = -33.6 eV/cell; E_form = -0.852 eV/atom; crystal system = tetragonal; magnetic moment = 0.000 μB per atom
1.0
8.4454 2.3079 1.2937
4.9008 7.0732 2.0678
-6.9360 -5.3584 1.2266
La As
2 4
direct
0.5000 0.5000 0.0000 La
0.2500 0.7500 0.5000 La
0.6684 0.1684 0.5000 As
0.8316 0.3316 0.5000 As
0.0816 0.0816 0.0000 As
0.9184 0.9184 0.0000 As

# 7
PBE KMgCr2, optimized geometry; space-group type = P4/mmm, No. 123; E_tot = -17.5 eV/cell; E_form = 1.117 eV/atom; crystal system = tetragonal; magnetic moment = 2.389 μB per atom
1.0
5.5746 0.0000 0.0000
0.0000 5.5746 0.0000
0.0000 0.0000 3.2894
Cr K Mg
2 1 1
direct
0.5000 0.5000 0.0000 Cr
0.0000 0.0000 0.0000 Cr
0.5000 0.0000 0.5000 K
0.0000 0.5000 0.5000 Mg

# 8
PBE Tb3CuPt8, optimized geometry; space-group type = R3m, No. 160; E_tot = -77.3 eV/cell; E_form = -0.916 eV/atom; crystal system = trigonal; magnetic moment = 0.000 μB per atom
1.0
5.4098 0.0000 0.0000
2.7049 4.6850 0.0000
2.7049 1.5617 8.8087
Pt Cu Tb
8 1 3
direct
0.1894 0.1894 0.4317 Pt
0.9387 0.4390 0.6835 Pt
0.4390 0.9387 0.6835 Pt
0.9420 0.4379 0.1823 Pt
0.6890 0.6890 0.9330 Pt
0.4379 0.9420 0.1823 Pt
0.4379 0.4379 0.1823 Pt
0.9387 0.9387 0.6835 Pt
0.8624 0.8624 0.4129 Cu
0.9875 0.9875 0.0374 Tb
0.3786 0.3786 0.8642 Tb
0.5089 0.5089 0.4734 Tb

Repeat the fourth record exactly.
PBE LaW2Cl, optimized geometry; formation energy (no corrections) = 6.545 eV/f.u.; energy relative to the lowest polymorph listed for this composition = 1674 meV per atom; space-group type = Fm-3m, No. 225; E_tot = -26.1 eV/cell; crystal system = cubic; magnetic moment = 0.000 μB per atom
1.0
0.0000 3.3887 3.3887
3.3887 0.0000 3.3887
3.3887 3.3887 0.0000
W Cl La
2 1 1
direct
0.7500 0.7500 0.7500 W
0.2500 0.2500 0.2500 W
0.0000 0.0000 0.0000 Cl
0.5000 0.5000 0.5000 La

E_tot of number 4 (LaW2Cl)? -26.1 eV/cell